1.
FeSbW after structural relaxation, computed with PBE-GGA.

Results
uncorrected formation energy = 0.56 eV per atom
theoretical density = 12584 kg/m³
energy above the lowest structure with this stoichiometry = 6.92 kcal/mol of atoms

Cell: 4.3170 4.3170 2.9552 Å, 90.00 90.00 120.00°
Space group P3m1 (No. 156)
Inequivalent atoms, fractional coordinates:
1 Fe 0.0000 0.0000 0.0000
2 Sb 0.3333 0.6667 0.0090
3 W 0.6667 0.3333 0.5080

---

2.
SrPr3Nd2Se6 after structural relaxation, computed with PBE-GGA.

Results
uncorrected formation energy = -1.86 eV per atom
theoretical density = 6370 kg/m³

Cell: 7.389 12.821 7.423 Å, 90.00 109.35 90.00°
Space group C2/m (No. 12)
Inequivalent atoms, fractional coordinates:
1 Sr 0.000 0.000 0.000
2 Pr 0.000 0.164 0.500
3 Pr 0.000 0.500 0.500
4 Nd 0.000 0.333 0.000
5 Se 0.246 0.500 0.246
6 Se 0.249 0.332 0.750

---

3.
TbCeAgAu after structural relaxation, computed with PBE-GGA.

Results
formation energy = -0.46 eV/atom
theoretical density = 10127 kg/m³
energy above the lowest structure with this stoichiometry = 0.00 kcal/mol of atoms

Cell: 3.610 3.610 7.598 Å, 90.00 90.00 90.00°
Space group P4mm (No. 99)
Inequivalent atoms, fractional coordinates:
1 Tb 0.000 0.000 0.000
2 Ce 0.000 0.000 0.513
3 Ag 0.500 0.500 0.238
4 Au 0.500 0.500 0.775

---

4.
Tb4BiAs2 after structural relaxation, computed with PBE-GGA.

Results
formation energy = -1.12 eV/atom
theoretical density = 8346 kg/m³

Cell: 4.217 13.552 13.849 Å, 90.00 90.00 90.00°
Space group Cmcm (No. 63)
Inequivalent atoms, fractional coordinates:
1 Tb 0.000 0.000 0.000
2 Tb 0.000 0.264 0.119
3 Tb 0.000 0.437 0.750
4 Bi 0.000 0.108 0.750
5 As 0.000 0.366 0.558

---

5.
YVIr after structural relaxation, computed with PBE-GGA.

Results
formation energy = -0.34 eV/atom
theoretical density = 8716 kg/m³
energy above the lowest structure with this stoichiometry = 2.80 kcal/mol of atoms

Cell: 4.1018 4.1018 4.3416 Å, 90.00 90.00 120.00°
Space group P3m1 (No. 156)
Inequivalent atoms, fractional coordinates:
1 Y 0.0000 0.0000 0.0000
2 V 0.3333 0.6667 0.5073
3 Ir 0.6667 0.3333 0.4783

---

6.
Mg14AlFe after structural relaxation, computed with PBE-GGA.

Results
formation energy = 0.07 eV/atom
theoretical density = 2071 kg/m³
energy above the lowest structure with this stoichiometry = 0.00 kcal/mol of atoms

Cell: 10.184 6.203 10.741 Å, 90.00 90.00 90.00°
Space group Amm2 (No. 38)
Inequivalent atoms, fractional coordinates:
1 Mg 0.000 0.000 0.000
2 Mg 0.000 0.000 0.499
3 Mg 0.000 0.249 0.247
4 Mg 0.249 0.000 0.832
5 Mg 0.257 0.000 0.335
6 Mg 0.267 0.245 0.578
7 Mg 0.500 0.249 0.754
8 Al 0.500 0.000 0.997
9 Fe 0.500 0.000 0.499

---

7.
CaNb2CdAg after structural relaxation, computed with PBE-GGA.

Results
formation energy = 1.19 eV/atom
theoretical density = 5497 kg/m³

Cell: 5.104 5.104 5.173 Å, 90.00 90.00 90.00°
Space group P4/mmm (No. 123)
Inequivalent atoms, fractional coordinates:
1 Ca 0.000 0.000 0.000
2 Nb 0.000 0.500 0.500
3 Cd 0.500 0.500 0.000
4 Ag 0.500 0.500 0.500

---

8.
LaTc2IrI after structural relaxation, computed with PBE-GGA.

Results
uncorrected formation energy = 2.28 eV per atom
theoretical density = 7811 kg/m³

Cell: 4.824 4.824 5.973 Å, 90.00 90.00 90.00°
Space group P4/mmm (No. 123)
Inequivalent atoms, fractional coordinates:
1 La 0.000 0.000 0.000
2 Tc 0.000 0.500 0.000
3 Ir 0.500 0.500 0.500
4 I 0.000 0.000 0.500

---

9.
Ti3MoC4 after structural relaxation, computed with PBE-GGA.

Results
formation energy = -0.63 eV/atom
theoretical density = 5850 kg/m³

Cell: 4.338 4.338 8.675 Å, 90.00 90.00 90.00°
Space group I4/mmm (No. 139)
Inequivalent atoms, fractional coordinates:
1 Ti 0.000 0.000 0.000
2 Ti 0.000 0.500 0.250
3 Mo 0.000 0.000 0.500
4 C 0.000 0.000 0.247
5 C 0.000 0.500 0.000

---

10.
CaHo2ScSe4 after structural relaxation, computed with PBE-GGA.

Results
uncorrected formation energy = -1.74 eV per atom
theoretical density = 6501 kg/m³

Cell: 7.004 4.027 7.006 Å, 90.00 109.18 90.00°
Space group P2/m (No. 10)
Inequivalent atoms, fractional coordinates:
1 Ca 0.000 0.000 0.000
2 Ho 0.000 0.500 0.500
3 Ho 0.500 0.000 0.500
4 Sc 0.500 0.500 0.000
5 Se 0.256 0.500 0.249
6 Se 0.259 0.000 0.757

---

11.
Ti2Cd2Te after structural relaxation, computed with PBE-GGA.

Results
uncorrected formation energy = -0.09 eV per atom
theoretical density = 6893 kg/m³

Cell: 6.950 6.950 4.470 Å, 90.00 90.00 90.00°
Space group P4/mbm (No. 127)
Inequivalent atoms, fractional coordinates:
1 Ti 0.147 0.353 0.000
2 Cd 0.150 0.650 0.500
3 Te 0.000 0.000 0.000

---

12.
Li4Ag2F9 after structural relaxation, computed with PBE-GGA.

Results
uncorrected formation energy = -2.05 eV per atom
theoretical density = 3635 kg/m³

Cell: 5.178 5.364 15.047 Å, 95.50 96.40 112.72°
Space group P-1 (No. 2)
Inequivalent atoms, fractional coordinates:
1 Li 0.131 0.341 0.313
2 Li 0.156 0.355 0.510
3 Li 0.162 0.339 0.996
4 Li 0.223 0.356 0.768
5 Ag 0.456 0.971 0.363
6 Ag 0.481 0.990 0.882
7 F 0.069 0.546 0.411
8 F 0.121 0.971 0.280
9 F 0.198 0.017 0.560
10 F 0.216 0.709 0.770
11 F 0.233 0.725 0.010
12 F 0.254 0.237 0.884
13 F 0.282 0.237 0.104
14 F 0.448 0.646 0.279
15 F 0.461 0.317 0.429

---

> Number 4 is which compound?

Tb4BiAs2